<A>
Material: BeCoTe2I
Method: DFT, PBE
State: relaxed

abc: 4.9685 4.9685 5.2125
angles: 90.00 90.00 90.00
Last column: nearest neighbours and their distance in Å.
Space group P4/mmm (No. 123)
Unique sites:
Be1 0.0000 0.0000 0.0000 [1 per cell]  4 Te 2.48, 2 I 2.61
Co1 0.5000 0.5000 0.5000 [1 per cell]  4 I 3.51, 8 Te 3.60
Te1 0.0000 0.5000 0.0000 [2 per cell]  2 Be 2.48
I1 0.0000 0.0000 0.5000 [1 per cell]  2 Be 2.61

Computed properties:
density of states at the Fermi level: 6.76 states/eV/f.u.
total magnetic moment: 2.50 μB per formula unit

---

<B>
Material: BeCoTe2I
Method: DFT, PBE
State: relaxed

abc: 4.9698 4.9698 5.4261
angles: 90.00 90.00 90.00
Last column: nearest neighbours and their distance in Å.
Space group P4/mmm (No. 123)
Unique sites:
Be1 0.0000 0.0000 0.0000 [1 per cell]  4 I 3.51, 8 Te 3.68
Co1 0.5000 0.5000 0.5000 [1 per cell]  4 Te 2.48, 2 I 2.71
Te1 0.0000 0.5000 0.5000 [2 per cell]  2 Co 2.48
I1 0.5000 0.5000 0.0000 [1 per cell]  2 Co 2.71

Computed properties:
density of states at the Fermi level: 6.69 states/eV/f.u.
total magnetic moment: 1.00 μB per formula unit

---

Which is less stable than every other structure shown? <A> is.